[1]
DFT (PBE-GGA) results for a relaxed PbWN2 crystal.

Properties
Its energy is -7.403 eV per atom.

Unit cell a=6.8981 b=6.8981 c=6.8981 alpha=27.93 beta=27.93 gamma=27.93
Positions (direct):
W (0.0000, 0.0000, 0.0000)
Pb (0.5000, 0.5000, 0.5000)
N (0.0960, 0.0960, 0.0960)
N (0.9040, 0.9040, 0.9040)


[2]
DFT (PBE-GGA) results for a relaxed PbWN2 crystal.

Properties
Its energy is -8.278 eV per atom.

Unit cell a=5.5682 b=5.5682 c=6.1593 alpha=63.13 beta=63.13 gamma=90.00
Positions (direct):
W (0.2500, 0.7500, 0.5000)
W (0.5000, 0.5000, 0.0000)
Pb (0.7500, 0.2500, 0.5000)
Pb (0.0000, 0.0000, 0.0000)
N (0.2828, 0.6250, 0.2500)
N (0.3750, 0.5328, 0.7500)
N (0.8750, 0.7172, 0.7500)
N (0.4672, 0.1250, 0.2500)


[3]
DFT (PBE-GGA) results for a relaxed Pb3WN crystal.

Properties
Its energy is -5.015 eV per atom. As for the excess energy over the best structure of this formula in the dataset: 0.037 eV/atom.

Unit cell a=5.4148 b=5.4148 c=5.4148 alpha=90.00 beta=90.00 gamma=90.00
Site moments in Bohr magnetons follow the coordinates.
Positions (direct):
W (0.0000, 0.0000, 0.0000)  0.52
N (0.5000, 0.5000, 0.5000)  1.63
Pb (0.5000, 0.0000, 0.0000)  -0.03
Pb (0.0000, 0.0000, 0.5000)  0.00
Pb (0.0000, 0.5000, 0.0000)  -0.01


[4]
DFT (PBE-GGA) results for a relaxed PbW3N crystal.

Properties
Its energy is -5.693 eV per atom. As for the excess energy over the best structure of this formula in the dataset: 3.951 eV/atom.

Unit cell a=5.0079 b=5.0079 c=5.0079 alpha=90.00 beta=90.00 gamma=90.00
Positions (direct):
N (0.5000, 0.5000, 0.5000)
W (0.0000, 0.0000, 0.5000)
W (0.5000, 0.0000, 0.0000)
W (0.0000, 0.5000, 0.0000)
Pb (0.0000, 0.0000, 0.0000)


Values of formation energy from raw total energies, in order: 0.9255 0.0499 1.4661 4.4859, all in eV/atom.